A relaxed AlGa2Cl crystal, computed with GGA-PBE.

a = 5.9212 Å, b = 5.9212 Å, c = 12.8251 Å
α = 90.00°, β = 90.00°, γ = 90.00°
Space group I-42d (No. 122)
One atom of each set of equivalent atoms:
Al (0.0000, 0.0000, 0.0000) x4
Ga (0.2112, 0.2500, 0.1250) x8
Cl (0.0000, 0.0000, 0.5000) x4

Summary:
As for the size of the total moment: 0.00 μB per atom. The energy above the lowest structure with this stoichiometry comes out at 0 meV per atom. As for the calculated volume: 112.4 Å³/f.u.